No. 1
BaAlSn: relaxed, PBE-GGA.

Cell and atoms, written as POSCAR:
```
BaAlSn
1.0
4.6813 0.0000 0.0000
-2.3407 4.0541 0.0000
0.0000 0.0000 5.1865
Al Ba Sn
1 1 1
Direct
0.3333 0.6667 0.5000
0.0000 0.0000 0.0000
0.6667 0.3333 0.5000
```

calculated volume	98.4	Å³/cell
energy of formation	-0.456	eV per atom
VASP energy	-11.0	eV/cell

***

No. 2
HoErScCu: relaxed, PBE-GGA.

Cell and atoms, written as POSCAR:
```
HoErScCu
1.0
5.1239 0.0000 0.0000
2.5619 4.4374 0.0000
2.5619 1.4791 4.1836
Sc Ho Cu Er
1 1 1 1
Direct
0.7500 0.7500 0.7500
0.0000 0.0000 0.0000
0.2500 0.2500 0.2500
0.5000 0.5000 0.5000
```

calculated volume	95.1	Å³/cell
energy of formation	0.119	eV per atom
VASP energy	-19.1	eV/cell